DFT (meta-GGA SCAN) results for a PBEsol-optimized structure of Hf3ZnN.

Lattice parameters (Å, degrees): 3.2781 5.8163 8.7031 90.00 90.00 106.37
Last column: nearest neighbours and their distance in Å.
Fractional positions:
Hf (0.9527, 0.9055, 0.2500)  2 N 2.24
Zn (0.7451, 0.4903, 0.7500)  8 Hf 2.75-2.90
Zn (0.2549, 0.5097, 0.2500)  8 Hf 2.75-2.90
N (0.0000, 0.0000, 0.0000)  6 Hf 2.21-2.24
Hf (0.3720, 0.7440, 0.9526)  2 N 2.21
Hf (0.0473, 0.0945, 0.7500)  2 N 2.24
Hf (0.6280, 0.2560, 0.4526)  2 N 2.21
Hf (0.6280, 0.2560, 0.0474)  2 N 2.21
N (0.0000, 0.0000, 0.5000)  6 Hf 2.21-2.24
Hf (0.3720, 0.7440, 0.5474)  2 N 2.21

mass density: 12826 kg/m3
raw formation energy: -1.01 eV per atom
total moment: 0.00 μB per cell
DOS(E_F): 0.627 states/eV/atom